BePtSe2 | PBE-GGA | optimized geometry

Unit cell a=3.639 b=4.465 c=4.466 alpha=72.83 beta=90.00 gamma=90.00
Sites, in units of the cell vectors:
Se  0.000  0.500  0.500
Be  0.500  0.250  0.250
Pt  0.500  0.750  0.750
Se  0.000  0.000  0.000

Properties
**Space group**: No. 65
**Formation energy without anion corrections**: 91 meV per atom
**Total magnetic moment**: 0.0 Bohr magnetons per cell

=====

BePtSe2 | PBE-GGA | optimized geometry

Unit cell a=3.019 b=3.057 c=6.934 alpha=90.00 beta=90.00 gamma=90.00
Sites, in units of the cell vectors:
Se  0.000  0.000  0.471
Se  0.000  0.000  0.029
Pt  0.500  0.500  0.750
Be  0.500  0.500  0.250

Properties
**Space group**: No. 47
**Formation energy without anion corrections**: 430 meV per atom
**Total magnetic moment**: 0.0 Bohr magnetons per cell

=====

BePtSe4 | PBE-GGA | optimized geometry

Unit cell a=5.546 b=5.546 c=5.546 alpha=60.00 beta=60.00 gamma=60.00
Sites, in units of the cell vectors:
Pt  0.000  0.000  0.000
Se  0.374  0.877  0.374
Se  0.374  0.374  0.877
Se  0.374  0.374  0.374
Be  0.750  0.750  0.750
Se  0.877  0.374  0.374

Properties
**Space group**: No. 216
**Formation energy without anion corrections**: 1071 meV per atom
**Total magnetic moment**: 0.0 Bohr magnetons per cell